Model A:
DFT (GGA-PBE) results for TiCd3Tc after structural relaxation.

The space group is Pm-3m. Its density of states at the Fermi level is 5.5 states/eV/cell.

Cell lengths 5.1788, 5.1788, 5.1788 Å; angles 90.00, 90.00, 90.00 degrees
Atoms (fractional coordinates):
Cd 0.0000 0.5000 0.0000
Ti 0.0000 0.0000 0.0000
Cd 0.0000 0.0000 0.5000
Cd 0.5000 0.0000 0.0000
Tc 0.5000 0.5000 0.5000

---

Model B:
DFT (GGA-PBE) results for TiCd3Tc after structural relaxation.

The space group is Pm-3m. Its density of states at the Fermi level is 6.6 states/eV/cell.

Cell lengths 5.1097, 5.1097, 5.1097 Å; angles 90.00, 90.00, 90.00 degrees
Atoms (fractional coordinates):
Cd 0.0000 0.5000 0.0000
Cd 0.0000 0.0000 0.5000
Ti 0.5000 0.5000 0.5000
Tc 0.0000 0.0000 0.0000
Cd 0.5000 0.0000 0.0000

---

Ranked by calculated energy, most stable first: model B, model A.

---

Model A:
DFT (GGA-PBE) results for TiCd2Tc after structural relaxation.

The space group is Fm-3m. Its density of states at the Fermi level is 4.5 states/eV/cell.

Cell lengths 4.6465, 4.6465, 4.6465 Å; angles 60.00, 60.00, 60.00 degrees
Atoms (fractional coordinates):
Ti 0.0000 0.0000 0.0000
Cd 0.7500 0.7500 0.7500
Tc 0.5000 0.5000 0.5000
Cd 0.2500 0.2500 0.2500

---

Model B:
DFT (GGA-PBE) results for TiCd2Tc after structural relaxation.

The space group is I-42d. Its density of states at the Fermi level is 7.9 states/eV/cell.

Cell lengths 3.8294, 3.8294, 10.7613 Å; angles 79.75, 79.75, 90.00 degrees
Atoms (fractional coordinates):
Tc 0.7500 0.2500 0.5000
Cd 0.1196 0.6250 0.2500
Cd 0.6304 0.1250 0.2500
Ti 0.2500 0.7500 0.5000
Cd 0.3750 0.3696 0.7500
Tc 0.0000 0.0000 0.0000
Ti 0.5000 0.5000 0.0000
Cd 0.8750 0.8804 0.7500

---

Ranked by calculated energy, most stable first: model A, model B.

---

Model A:
DFT (GGA-PBE) results for TiCdTc3 after structural relaxation.

The space group is Pm-3m. Its density of states at the Fermi level is 10.1 states/eV/cell.

Cell lengths 4.7868, 4.7868, 4.7868 Å; angles 90.00, 90.00, 90.00 degrees
Atoms (fractional coordinates):
Tc 0.0000 0.5000 0.0000
Tc 0.0000 0.0000 0.5000
Cd 0.0000 0.0000 0.0000
Tc 0.5000 0.0000 0.0000
Ti 0.5000 0.5000 0.5000

---

Model B:
DFT (GGA-PBE) results for TiCdTc3 after structural relaxation.

The space group is Pm-3m. Its density of states at the Fermi level is 5.3 states/eV/cell.

Cell lengths 4.5666, 4.5666, 4.5666 Å; angles 90.00, 90.00, 90.00 degrees
Atoms (fractional coordinates):
Tc 0.0000 0.5000 0.0000
Tc 0.0000 0.0000 0.5000
Ti 0.0000 0.0000 0.0000
Tc 0.5000 0.0000 0.0000
Cd 0.5000 0.5000 0.5000

---

Ranked by calculated energy, most stable first: model B, model A.